(1)
Entry from Alexandria: a relaxed LiSmZrZn crystal (PBE-GGA).

Unit cell a=4.9566 b=4.9566 c=4.9566 alpha=60.00 beta=60.00 gamma=60.00
Last column: nearest neighbours and their distance in Å.
Atoms (fractional coordinates):
Li1 0.0000 0.0000 0.0000  4 Zr 3.04, 4 Sm 3.04
Sm1 0.7500 0.7500 0.7500  4 Zn 3.04, 4 Li 3.04
Zr1 0.2500 0.2500 0.2500  4 Li 3.04, 4 Zn 3.04
Zn1 0.5000 0.5000 0.5000  4 Zr 3.04, 4 Sm 3.04

Properties
total magnetic moment = 0.0 μB per formula unit
symmetry = No. 216
ΔH_f (0 K) = 10 meV/atom


(2)
Entry from Alexandria: a relaxed TaZnPd5 crystal (PBE-GGA).

Unit cell a=6.6892 b=6.6892 c=6.6895 alpha=110.71 beta=110.71 gamma=89.90
Last column: nearest neighbours and their distance in Å.
Atoms (fractional coordinates):
Ta1 0.0404 0.9596 0.7500  7 Pd 2.52-2.64
Ta2 0.9596 0.0404 0.2500  7 Pd 2.52-2.64
Zn1 0.5000 0.5000 0.0000  4 Pd 2.48-2.70
Zn2 0.5000 0.5000 0.5000  4 Pd 2.48-2.70
Pd1 0.0729 0.6948 0.0075  2 Ta 2.60-2.84, 6 Pd 2.70-2.87
Pd2 0.1070 0.3101 0.6729  2 Ta 2.58-2.64, 4 Pd 2.69-2.82, 1 Zn 2.70
Pd3 0.3052 0.9271 0.4925  2 Ta 2.60-2.84, 6 Pd 2.70-2.87
Pd4 0.3066 0.6934 0.7500  2 Zn 2.48, 1 Ta 2.52, 4 Pd 2.69-2.70
Pd5 0.3101 0.1070 0.1729  2 Ta 2.58-2.64, 4 Pd 2.69-2.82, 1 Zn 2.70
Pd6 0.6899 0.8930 0.8271  2 Ta 2.58-2.64, 4 Pd 2.69-2.82, 1 Zn 2.70
Pd7 0.6934 0.3066 0.2500  2 Zn 2.48, 1 Ta 2.52, 4 Pd 2.69-2.70
Pd8 0.6948 0.0729 0.5075  2 Ta 2.60-2.84, 6 Pd 2.70-2.87
Pd9 0.8930 0.6899 0.3271  2 Ta 2.58-2.64, 4 Pd 2.69-2.82, 1 Zn 2.70
Pd10 0.9271 0.3052 0.9925  2 Ta 2.60-2.84, 6 Pd 2.70-2.87

Properties
total magnetic moment = 0.0 μB per formula unit
symmetry = No. 15
ΔH_f (0 K) = -37 meV/atom
relative energy among the computed polymorphs = 9.08 kcal/mol of atoms


(3)
Entry from Alexandria: a relaxed AlP2W crystal (PBE-GGA).

Unit cell a=4.3530 b=4.3530 c=4.3530 alpha=60.00 beta=60.00 gamma=60.00
Last column: nearest neighbours and their distance in Å.
Atoms (fractional coordinates):
Al1 0.0000 0.0000 0.0000  4 W 2.67, 4 P 2.67
P1 0.5000 0.5000 0.5000  4 P 2.67, 4 W 2.67
P2 0.7500 0.7500 0.7500  4 Al 2.67, 4 P 2.67
W1 0.2500 0.2500 0.2500  4 P 2.67, 4 Al 2.67

Properties
total magnetic moment = 0.0 μB per formula unit
symmetry = No. 216
ΔH_f (0 K) = 590 meV/atom


(4)
Entry from Alexandria: a relaxed Sc2TcS crystal (PBE-GGA).

Unit cell a=5.8071 b=5.8071 c=5.8071 alpha=106.32 beta=106.32 gamma=115.97
Last column: nearest neighbours and their distance in Å.
Atoms (fractional coordinates):
Sc1 0.1110 0.1250 0.4860  2 S 2.51, 2 Tc 2.65
Sc2 0.3750 0.8890 0.0140  2 S 2.51, 2 Tc 2.65
Sc3 0.6390 0.6250 0.5140  2 S 2.51, 2 Tc 2.65
Sc4 0.8750 0.3610 0.9860  2 S 2.51, 2 Tc 2.65
Tc1 0.2500 0.7500 0.5000  4 Sc 2.65
Tc2 0.5000 0.5000 0.0000  4 Sc 2.65
S1 0.0000 0.0000 0.0000  4 Sc 2.51
S2 0.7500 0.2500 0.5000  4 Sc 2.51

Properties
total magnetic moment = 0.0 μB per formula unit
uncorrected formation energy = -1.0 eV/f.u.
symmetry = No. 122


(5)
Entry from Alexandria: a relaxed CsTaCl2 crystal (PBE-GGA).

Unit cell a=8.3343 b=8.3343 c=8.3343 alpha=135.95 beta=135.95 gamma=64.06
Last column: nearest neighbours and their distance in Å.
Atoms (fractional coordinates):
Cs1 0.0000 0.0000 0.0000  4 Cl 3.68
Cs2 0.7500 0.2500 0.5000  4 Cl 3.68
Ta1 0.2500 0.7500 0.5000  4 Cl 2.38
Ta2 0.5000 0.5000 0.0000  4 Cl 2.38
Cl1 0.3271 0.6250 0.2021  2 Ta 2.38
Cl2 0.3750 0.5771 0.7021  2 Ta 2.38
Cl3 0.4229 0.1250 0.7979  2 Ta 2.38
Cl4 0.8750 0.6729 0.2979  2 Ta 2.38

Properties
total magnetic moment = 0.0 μB per formula unit
uncorrected formation energy = -0.6 eV/f.u.
symmetry = No. 122
relative energy among the computed polymorphs = 0.00 kcal/mol of atoms


(6)
Entry from Alexandria: a relaxed Ta2VHPd crystal (PBE-GGA).

Unit cell a=4.2718 b=4.2718 c=3.7099 alpha=90.00 beta=90.00 gamma=90.00
Last column: nearest neighbours and their distance in Å.
Atoms (fractional coordinates):
Ta1 0.0000 0.5000 0.0000  2 H 2.14
Ta2 0.5000 0.0000 0.0000  2 H 2.14
V1 0.0000 0.0000 0.5000  8 Ta 2.83, 4 Pd 3.02
H1 0.5000 0.5000 0.0000  2 Pd 1.85
Pd1 0.5000 0.5000 0.5000  2 H 1.85

Properties
total magnetic moment = 0.0 μB per formula unit
symmetry = No. 123
relative energy among the computed polymorphs = 1.78 kcal/mol of atoms